Compound: Pm2Ga6Ru
Source: the Alexandria database
Functional: PBE
Structure: relaxed

Cell: 6.2720 6.2720 6.2720 Å, 60.00 60.00 60.00°
Closest atoms and distances in Å follow each position.
Element x y z (fractional)
Pm 0.2500 0.2500 0.2500  12 Ga 3.15
Pm 0.7500 0.7500 0.7500  12 Ga 3.15
Ga 0.2172 0.2172 0.7828  1 Ru 2.51, 4 Ga 2.72
Ga 0.2172 0.7828 0.2172  1 Ru 2.51, 4 Ga 2.72
Ga 0.2172 0.7828 0.7828  1 Ru 2.51, 4 Ga 2.72
Ga 0.7828 0.2172 0.2172  1 Ru 2.51, 4 Ga 2.72
Ga 0.7828 0.2172 0.7828  1 Ru 2.51, 4 Ga 2.72
Ga 0.7828 0.7828 0.2172  1 Ru 2.51, 4 Ga 2.72
Ru 0.5000 0.5000 0.5000  6 Ga 2.51

ΔH_f (0 K) in meV per atom: -590.0

***

Compound: TaSi2Os
Source: the Alexandria database
Functional: PBE
Structure: relaxed

Cell: 2.9391 3.9619 5.1530 Å, 90.00 90.11 90.00°
Closest atoms and distances in Å follow each position.
Element x y z (fractional)
Ta 0.0000 0.0000 0.0000  8 Si 2.77, 2 Ta 2.94, 4 Os 2.96-2.97
Si 0.4973 0.5000 0.7550  2 Os 2.38, 2 Si 2.53-2.63
Si 0.5027 0.5000 0.2450  2 Os 2.38, 2 Si 2.53-2.63
Os 0.5000 0.0000 0.5000  4 Si 2.38

***

Compound: Zn2Cu2Ru
Source: the Alexandria database
Functional: PBE
Structure: relaxed

Cell: 7.0864 7.0864 2.6389 Å, 90.00 90.00 90.00°
Closest atoms and distances in Å follow each position.
Element x y z (fractional)
Zn 0.1315 0.3685 0.0000  6 Cu 2.41-2.51, 3 Zn 2.64
Zn 0.3685 0.8685 0.0000  6 Cu 2.41-2.51, 3 Zn 2.64
Zn 0.6315 0.1315 0.0000  6 Cu 2.41-2.51, 3 Zn 2.64
Zn 0.8685 0.6315 0.0000  6 Cu 2.41-2.51, 3 Zn 2.64
Cu 0.1671 0.6671 0.5000  6 Zn 2.41-2.51, 2 Cu 2.64
Cu 0.3329 0.1671 0.5000  6 Zn 2.41-2.51, 2 Cu 2.64
Cu 0.6671 0.8329 0.5000  6 Zn 2.41-2.51, 2 Cu 2.64
Cu 0.8329 0.3329 0.5000  6 Zn 2.41-2.51, 2 Cu 2.64
Ru 0.0000 0.0000 0.0000  2 Ru 2.64, 4 Zn 2.77, 8 Cu 2.95
Ru 0.5000 0.5000 0.0000  2 Ru 2.64, 4 Zn 2.77, 8 Cu 2.95

ΔH_f (0 K) in meV per atom: 127.0

***

What did we get for final energy? Answer: -42.2, -34.9, -38.8 eV for the cell shown, in the order shown.
What did we get for density? Answer: 7.70, 11.83, 9.00 g/cm3, in the order shown.
What did we get for D(E_F)? Answer: 7.45, 3.16, 4.67 states/eV/cell, in the order shown.